[1]
{
  "formula": "Mg6Rh5Pb",
  "functional": "PBE",
  "state": "optimized geometry",
  "e_tot_ev_per_atom": -4.58,
  "e_form_mev_per_atom": -411.4,
  "mass_density_g_cm3": 7.35,
  "cell": [[4.4009, 0.0018, -0.9249], [-0.0028, 6.4506, -0.0007], [-0.8306, 0.0004, 7.0785]],
  "species": ["Pb", "Mg", "Mg", "Mg", "Mg", "Mg", "Mg", "Rh", "Rh", "Rh", "Rh", "Rh"],
  "frac_coords": [[0.0000, 0.0000, 0.0000], [0.8229, 0.7355, 0.6456], [0.8229, 0.2645, 0.6456], [0.5000, 0.2786, 0.0000], [0.5000, 0.7214, 0.0000], [0.1771, 0.7355, 0.3544], [0.1771, 0.2645, 0.3544], [0.6629, 0.5000, 0.3261], [0.3393, 0.0000, 0.6782], [0.0000, 0.5000, 0.0000], [0.6607, 0.0000, 0.3218], [0.3371, 0.5000, 0.6739]]
}

[2]
{
  "formula": "CuTcSe2",
  "functional": "PBE",
  "state": "optimized geometry",
  "e_tot_ev_per_atom": -5.20,
  "e_above_lowest_polymorph_mev_per_atom": 188.3,
  "raw_formation_energy_ev_per_atom": 0.154,
  "mass_density_g_cm3": 8.30,
  "cell": [[3.1242, 0.0000, 0.0000], [0.0000, 3.1242, 0.0000], [0.0000, 0.0000, 6.5450]],
  "species": ["Cu", "Se", "Se", "Tc"],
  "frac_coords": [[0.5000, 0.5000, 0.7500], [0.0000, 0.0000, 0.0145], [0.0000, 0.0000, 0.4855], [0.5000, 0.5000, 0.2500]]
}

[3]
{
  "formula": "Er2SnRh",
  "functional": "PBE",
  "state": "optimized geometry",
  "e_tot_ev_per_atom": -5.74,
  "e_form_mev_per_atom": -616.0,
  "mass_density_g_cm3": 9.12,
  "cell": [[-0.1168, 2.6658, 2.6050], [-2.4637, 2.7842, -0.2905], [-6.4637, -2.6872, 5.1293]],
  "species": ["Rh", "Sn", "Er", "Er"],
  "frac_coords": [[0.0000, 0.0000, 0.0000], [0.5000, 0.5000, 0.5000], [0.2658, 0.2658, 0.2025], [0.7342, 0.7342, 0.7975]]
}

[4]
{
  "formula": "YCdCu2",
  "functional": "PBE",
  "state": "optimized geometry",
  "e_tot_ev_per_atom": -4.04,
  "e_form_mev_per_atom": -151.3,
  "mass_density_g_cm3": 6.99,
  "cell": [[4.0948, 0.0000, 0.0000], [0.0000, 3.7642, 0.0067], [0.0000, 1.8814, 5.0685]],
  "species": ["Cd", "Cu", "Cu", "Y"],
  "frac_coords": [[0.5000, 0.7740, 0.8275], [0.0000, 0.1919, 0.9905], [0.5000, 0.0615, 0.2524], [0.0000, 0.4726, 0.4295]]
}

[5]
{
  "formula": "Tl2Pd3S2",
  "functional": "PBE",
  "state": "optimized geometry",
  "e_tot_ev_per_atom": -4.40,
  "raw_formation_energy_ev_per_atom": -0.317,
  "mass_density_g_cm3": 8.93,
  "cell": [[6.8448, 0.0000, -2.4200], [-3.4224, 5.9277, -2.4200], [0.0000, 0.0000, 7.2600]],
  "species": ["Tl", "Tl", "Tl", "Tl", "Pd", "Pd", "Pd", "Pd", "Pd", "Pd", "S", "S", "S", "S"],
  "frac_coords": [[0.0000, 0.0000, 0.5074], [0.5000, 0.5074, 0.5000], [0.4926, 0.9926, 0.9926], [0.0074, 0.5000, 0.0000], [0.7264, 0.7500, 0.9764], [0.7736, 0.2500, 0.5236], [0.0236, 0.2736, 0.2500], [0.4764, 0.2264, 0.7500], [0.2500, 0.9764, 0.2264], [0.7500, 0.5236, 0.2736], [0.0000, 0.0000, 0.9462], [0.5000, 0.9462, 0.5000], [0.0538, 0.5538, 0.5538], [0.4462, 0.5000, 0.0000]]
}

[6]
{
  "formula": "BeReNF2",
  "functional": "PBE",
  "state": "optimized geometry",
  "e_tot_ev_per_atom": -5.66,
  "e_above_lowest_polymorph_mev_per_atom": 976.7,
  "raw_formation_energy_ev_per_atom": -0.013,
  "mass_density_g_cm3": 6.12,
  "cell": [[-1.2297, -4.0164, 0.1124], [2.6773, -0.7314, 3.1548], [-2.7079, 0.8992, 2.5065]],
  "species": ["Re", "N", "Be", "F", "F"],
  "frac_coords": [[0.0000, 0.0000, 0.0000], [0.0000, 0.0000, 0.5000], [0.5000, 0.5000, 0.5000], [0.0000, 0.5000, 0.0000], [0.5000, 0.0000, 0.0000]]
}

[7]
{
  "formula": "CrAgOs2",
  "functional": "PBE",
  "state": "optimized geometry",
  "e_tot_ev_per_atom": -8.21,
  "e_above_lowest_polymorph_mev_per_atom": 253.7,
  "e_form_mev_per_atom": 527.8,
  "mass_density_g_cm3": 15.17,
  "cell": [[-3.7486, -1.0203, -2.7474], [-1.9540, -3.1153, -3.0195], [-2.6038, -2.6232, 3.0240]],
  "species": ["Ag", "Cr", "Os", "Os"],
  "frac_coords": [[0.4980, 0.4980, 0.5118], [0.7395, 0.7395, 0.7643], [0.0039, 0.0039, 0.0137], [0.2586, 0.2586, 0.2102]]
}

[8]
{
  "formula": "TaAgTe2",
  "functional": "PBE",
  "state": "optimized geometry",
  "e_tot_ev_per_atom": -4.78,
  "raw_formation_energy_ev_per_atom": 0.465,
  "mass_density_g_cm3": 9.44,
  "cell": [[5.9404, 0.0099, 0.0773], [-0.2563, 5.9349, 0.0773], [0.9270, 0.9695, 2.7406]],
  "species": ["Te", "Te", "Ag", "Ta"],
  "frac_coords": [[0.0000, 0.0000, 0.0000], [0.5000, 0.5000, 0.0000], [0.5000, 0.0000, 0.5000], [0.0000, 0.5000, 0.5000]]
}

[9]
{
  "formula": "La12Ag6Ir",
  "functional": "PBE",
  "state": "optimized geometry",
  "e_tot_ev_per_atom": -4.64,
  "e_form_mev_per_atom": -162.1,
  "mass_density_g_cm3": 6.85,
  "cell": [[8.4695, 0.3635, 0.4354], [-0.9247, 8.4267, 0.4354], [-0.9247, -1.0774, 8.3689]],
  "species": ["La", "La", "La", "La", "La", "La", "La", "La", "La", "La", "La", "La", "Ag", "Ag", "Ag", "Ag", "Ag", "Ag", "Ir"],
  "frac_coords": [[0.8081, 0.5698, 0.4598], [0.4598, 0.8081, 0.5698], [0.5698, 0.4598, 0.8081], [0.1919, 0.4302, 0.5402], [0.5402, 0.1919, 0.4302], [0.4302, 0.5402, 0.1919], [0.9676, 0.0871, 0.3217], [0.9129, 0.6783, 0.0324], [0.6783, 0.0324, 0.9129], [0.0324, 0.9129, 0.6783], [0.0871, 0.3217, 0.9676], [0.3217, 0.9676, 0.0871], [0.6562, 0.8551, 0.2619], [0.7381, 0.3438, 0.1449], [0.1449, 0.7381, 0.3438], [0.3438, 0.1449, 0.7381], [0.2619, 0.6562, 0.8551], [0.8551, 0.2619, 0.6562], [0.0000, 0.0000, 0.0000]]
}

[10]
{
  "formula": "Hf2InGa2",
  "functional": "PBE",
  "state": "optimized geometry",
  "e_tot_ev_per_atom": -5.87,
  "e_above_lowest_polymorph_mev_per_atom": 196.4,
  "e_form_mev_per_atom": -125.5,
  "mass_density_g_cm3": 9.77,
  "cell": [[-6.4867, 2.3610, -4.0444], [-4.5859, -1.8015, 6.3035], [0.3850, 3.0127, 1.1411]],
  "species": ["Hf", "Hf", "Hf", "Hf", "Ga", "Ga", "Ga", "Ga", "In", "In"],
  "frac_coords": [[0.3677, 0.8677, 0.0000], [0.8677, 0.6323, 0.0000], [0.6323, 0.1323, 0.0000], [0.1323, 0.3677, 0.0000], [0.1692, 0.6692, 0.5000], [0.6692, 0.8308, 0.5000], [0.8308, 0.3308, 0.5000], [0.3308, 0.1692, 0.5000], [0.0000, 0.0000, 0.0000], [0.5000, 0.5000, 0.0000]]
}

[11]
{
  "formula": "KMgIn",
  "functional": "PBE",
  "state": "optimized geometry",
  "e_tot_ev_per_atom": -1.84,
  "e_above_lowest_polymorph_mev_per_atom": 31.0,
  "e_form_mev_per_atom": -31.7,
  "mass_density_g_cm3": 2.89,
  "cell": [[6.0640, 0.0000, -0.0066], [0.0000, 5.1238, 0.0000], [-3.0180, 0.0000, 6.6008]],
  "species": ["K", "K", "Mg", "Mg", "In", "In"],
  "frac_coords": [[0.7037, 0.5000, 0.8466], [0.1661, 0.0000, 0.8480], [0.5544, 0.5000, 0.2971], [0.1038, 0.5000, 0.3950], [0.8012, 0.0000, 0.2515], [0.3974, 0.0000, 0.4439]]
}

[12]
{
  "formula": "BaHfGa",
  "functional": "PBE",
  "state": "optimized geometry",
  "e_tot_ev_per_atom": -4.92,
  "e_above_lowest_polymorph_mev_per_atom": 259.4,
  "e_form_mev_per_atom": 49.5,
  "mass_density_g_cm3": 7.33,
  "cell": [[5.2841, 0.0000, -0.0137], [0.0000, 12.5139, 0.0000], [-0.7482, 0.0000, 5.2861]],
  "species": ["Hf", "Hf", "Hf", "Hf", "Ba", "Ba", "Ba", "Ba", "Ga", "Ga", "Ga", "Ga"],
  "frac_coords": [[0.2915, 0.2677, 0.1942], [0.7085, 0.2677, 0.8058], [0.2915, 0.7677, 0.6942], [0.7085, 0.7677, 0.3058], [0.2592, 0.9929, 0.2318], [0.7408, 0.9929, 0.7682], [0.2592, 0.4929, 0.7318], [0.7408, 0.4929, 0.2682], [0.1964, 0.7015, 0.1886], [0.8036, 0.7015, 0.8114], [0.1964, 0.2015, 0.6886], [0.8036, 0.2015, 0.3114]]
}